No. 1
! SrNi2Ge (PBE, optimized geometry); values from VASP
&SYSTEM
  ibrav = 0, nat = 4, ntyp = 3
/
ATOMIC_SPECIES
Sr 87.62 Sr.upf
Ni 58.69 Ni.upf
Ge 72.64 Ge.upf
CELL_PARAMETERS angstrom
2.067 1.193 5.280
-2.067 1.193 5.280
0.000 -2.387 5.280
ATOMIC_POSITIONS angstrom
Sr 0.000 0.000 0.000
Ni 0.000 0.000 2.990
Ni 0.000 0.000 12.850
Ge 0.000 0.000 7.920
! Symmetry: No. 166
! ΔH_f (0 K) (meV per atom): -423


No. 2
! Li2CrRuS (PBE, optimized geometry); values from VASP
&SYSTEM
  ibrav = 0, nat = 5, ntyp = 4
/
ATOMIC_SPECIES
Li 6.94 Li.upf
Cr 52.00 Cr.upf
Ru 101.07 Ru.upf
S 32.06 S.upf
CELL_PARAMETERS angstrom
4.636 0.000 0.000
0.000 4.636 0.000
0.000 0.000 4.467
ATOMIC_POSITIONS angstrom
Li 0.000 2.318 0.000
Li 2.318 0.000 0.000
Cr 0.000 0.000 2.233
Ru 0.000 0.000 0.000
S 2.318 2.318 2.233
! Symmetry: No. 123
! Energy relative to the elements, uncorrected (eV per formula unit): 3.9


No. 3
! LiPrNpSe3 (PBE, optimized geometry); values from VASP
&SYSTEM
  ibrav = 0, nat = 12, ntyp = 4
/
ATOMIC_SPECIES
Li 6.94 Li.upf
Pr 140.91 Pr.upf
Np 237.00 Np.upf
Se 78.96 Se.upf
CELL_PARAMETERS angstrom
8.504 0.000 0.000
0.000 4.067 0.000
-2.021 0.000 8.719
ATOMIC_POSITIONS angstrom
Li 0.572 1.017 0.727
Li 5.911 3.050 7.991
Pr 0.104 1.017 6.327
Pr 6.379 3.050 2.391
Np 2.153 3.050 2.959
Np 4.330 1.017 5.760
Se 0.065 1.017 3.202
Se -0.145 3.050 8.706
Se 2.287 3.050 5.880
Se 4.195 1.017 2.839
Se 6.628 1.017 0.012
Se 6.418 3.050 5.516
! Symmetry: No. 11
! Energy relative to the elements, uncorrected (eV per formula unit): -8.3


No. 4
! PmThRh (PBE, optimized geometry); values from VASP
&SYSTEM
  ibrav = 0, nat = 3, ntyp = 3
/
ATOMIC_SPECIES
Pm 145.00 Pm.upf
Th 232.04 Th.upf
Rh 102.91 Rh.upf
CELL_PARAMETERS angstrom
4.670 0.000 0.000
-2.335 4.045 0.000
0.000 0.000 4.164
ATOMIC_POSITIONS angstrom
Pm 0.000 0.000 0.000
Th 0.000 2.696 2.332
Rh 2.335 1.348 1.293
! Symmetry: No. 156
! ΔH_f (0 K) (meV per atom): -324
! Relative energy among the computed polymorphs (eV per atom): 0.1878


No. 5
! Rb3NdDy2Se6 (PBE, optimized geometry); values from VASP
&SYSTEM
  ibrav = 0, nat = 12, ntyp = 4
/
ATOMIC_SPECIES
Rb 85.47 Rb.upf
Nd 144.24 Nd.upf
Dy 162.50 Dy.upf
Se 78.96 Se.upf
CELL_PARAMETERS angstrom
3.713 -6.432 0.000
3.713 6.432 0.000
-2.479 0.000 8.006
ATOMIC_POSITIONS angstrom
Rb 0.000 0.000 0.000
Rb 3.713 2.126 0.000
Rb 3.713 -2.126 0.000
Nd 2.474 0.000 4.003
Dy 2.474 4.286 4.003
Dy 2.474 -4.286 4.003
Se 1.207 2.195 2.423
Se -0.061 0.000 5.580
Se 1.207 -2.195 2.423
Se 3.741 2.195 5.583
Se 5.009 0.000 2.426
Se 3.741 -2.195 5.583
! Symmetry: No. 12
! Energy relative to the elements, uncorrected (eV per formula unit): -20.8


No. 6
! SrAlNi3 (PBE, optimized geometry); values from VASP
&SYSTEM
  ibrav = 0, nat = 5, ntyp = 3
/
ATOMIC_SPECIES
Sr 87.62 Sr.upf
Al 26.98 Al.upf
Ni 58.69 Ni.upf
CELL_PARAMETERS angstrom
4.716 0.000 0.000
0.000 4.716 0.000
0.000 0.000 4.716
ATOMIC_POSITIONS angstrom
Sr 0.000 0.000 0.000
Al 2.358 2.358 2.358
Ni 0.000 0.000 2.358
Ni 0.000 2.358 0.000
Ni 2.358 0.000 0.000
! Symmetry: No. 221
! ΔH_f (0 K) (meV per atom): 1634
! Relative energy among the computed polymorphs (eV per atom): 1.4671